Below is a relaxed structure of PtS2, with properties calculated at the PBE level.

V, Å³/cell: 65.5
Uncorrected formation energy, meV/atom: -358

Cell lengths 3.5807, 3.5808, 5.8957 Å; angles 89.95, 90.00, 120.00 degrees
Closest atoms and distances in Å follow each position.
Sites, in units of the cell vectors:
Pt 0.0000 0.0000 0.0000  6 S 2.40
S 0.6668 0.3337 0.7918  3 Pt 2.40
S 0.3332 0.6663 0.2082  3 Pt 2.40